Entry from Alexandria: a geometry-optimized ErSnRuRh structure (PBE).

Unit cell a=4.655 b=4.655 c=4.655 alpha=60.00 beta=60.00 gamma=60.00
Sites, in units of the cell vectors:
Er 0.250 0.250 0.250
Sn 0.750 0.750 0.750
Rh 0.000 0.000 0.000
Ru 0.500 0.500 0.500

Results
N(E_F) ... 0.87 states/eV/f.u.
Energy of formation from the pure elements ... -2.65 eV per formula unit
Volume ... 71.3 Å³ per cell